Entry from Alexandria: crystalline Rb3SnPb at its relaxed geometry (PBE).

abc: 8.737 8.737 9.178
angles: 119.24 119.24 82.61
Sites, in units of the cell vectors:
Rb: 0.065 0.065 0.354
Rb: 0.099 0.474 0.242
Rb: 0.474 0.099 0.242
Rb: 0.526 0.901 0.758
Rb: 0.901 0.526 0.758
Rb: 0.935 0.935 0.646
Sn: 0.298 0.298 0.894
Sn: 0.702 0.702 0.106
Pb: 0.431 0.431 0.716
Pb: 0.569 0.569 0.284

Properties
The space group is C2/m, No. 12. The calculation puts the total energy at -2.1764 eV/atom. The value obtained for the energy of formation is -0.05 eV per atom. The value obtained for the total moment is 0.00 μB/cell.